TlH2Pb: single point on PBEsol structure, SCAN.

E_tot in eV/cell: -306.36
Symmetry: I-42d, No. 122
Density of states at the Fermi level in states/eV per cell: 2.68
Mass density in Mg/m³: 9.22

Cell: 4.925 4.925 7.061 Å, 110.41 110.41 90.00°
Fractional positions:
Pb  0.250  0.750  0.500
Pb  0.000  0.000  0.000
H  0.978  0.375  0.250
H  0.272  0.875  0.250
H  0.625  0.728  0.750
H  0.125  0.022  0.750
Tl  0.750  0.250  0.500
Tl  0.500  0.500  0.000



ZnH2PbW: single point on PBEsol structure, SCAN.

E_tot in eV/cell: -161.99
Symmetry: P4/mmm, No. 123
Density of states at the Fermi level in states/eV per cell: 1.48
Mass density in Mg/m³: 10.66

Cell: 3.767 3.767 5.030 Å, 90.00 90.00 90.00°
Fractional positions:
Pb  0.500  0.500  0.500
H  0.000  0.500  0.000
H  0.500  0.000  0.000
Zn  0.000  0.000  0.500
W  0.000  0.000  0.000



Repeat the first record exactly.
TlH2Pb: single point on PBEsol structure, SCAN.

E_tot in eV/cell: -306.36
Symmetry: I-42d, No. 122
Density of states at the Fermi level in states/eV per cell: 2.68
Mass density in Mg/m³: 9.22

Cell: 4.925 4.925 7.061 Å, 110.41 110.41 90.00°
Fractional positions:
Pb  0.250  0.750  0.500
Pb  0.000  0.000  0.000
H  0.978  0.375  0.250
H  0.272  0.875  0.250
H  0.625  0.728  0.750
H  0.125  0.022  0.750
Tl  0.750  0.250  0.500
Tl  0.500  0.500  0.000



Please write out number 1 again, unchanged.
TlH2Pb: single point on PBEsol structure, SCAN.

E_tot in eV/cell: -306.36
Symmetry: I-42d, No. 122
Density of states at the Fermi level in states/eV per cell: 2.68
Mass density in Mg/m³: 9.22

Cell: 4.925 4.925 7.061 Å, 110.41 110.41 90.00°
Fractional positions:
Pb  0.250  0.750  0.500
Pb  0.000  0.000  0.000
H  0.978  0.375  0.250
H  0.272  0.875  0.250
H  0.625  0.728  0.750
H  0.125  0.022  0.750
Tl  0.750  0.250  0.500
Tl  0.500  0.500  0.000



Question: Among the records above, which one has the highest E_tot?
Answer: ZnH2PbW



Question: Which value of E_tot does entry 1 give?
Answer: -306.36 eV/cell